# LuTi2Os

A geometry-optimized LuTi2Os structure (GGA-PBE, the Alexandria database).

a b c (Å): 3.0687 3.0687 27.6973
angles (deg): 90.00 90.00 120.00
Space group R-3m (No. 166, hexagonal axes)
Symmetry-distinct sites (fractional):
Lu  0.0000  0.0000  0.0000
Ti  0.0000  0.0000  0.2364
Os  0.0000  0.0000  0.5000

D(E_F)   20.2 states/eV/cell
Final energy   -7.788 eV per atom

***

# LuTiOs2

A geometry-optimized LuTiOs2 structure (GGA-PBE, the Alexandria database).

a b c (Å): 6.419 6.419 6.419
angles (deg): 90.00 90.00 90.00
Space group Fm-3m (No. 225)
Symmetry-distinct sites (fractional):
Lu  0.000  0.000  0.000
Ti  0.000  0.000  0.500
Os  0.250  0.250  0.250

D(E_F)   8.5 states/eV/cell
Offset from the most stable computed form   66 meV per atom

***

# Lu2TlOs

A geometry-optimized Lu2TlOs structure (GGA-PBE, the Alexandria database).

a b c (Å): 4.922 4.922 3.571
angles (deg): 90.00 90.00 90.00
Space group P4/mmm (No. 123)
Symmetry-distinct sites (fractional):
Lu  0.000  0.500  0.000
Tl  0.000  0.000  0.500
Os  0.500  0.500  0.500

D(E_F)   2.9 states/eV/cell
Offset from the most stable computed form   5 meV per atom

***

# Lu2TlOs

A geometry-optimized Lu2TlOs structure (GGA-PBE, the Alexandria database).

a b c (Å): 7.019 7.019 7.019
angles (deg): 90.00 90.00 90.00
Space group Fm-3m (No. 225)
Symmetry-distinct sites (fractional):
Lu  0.250  0.250  0.250
Tl  0.000  0.000  0.000
Os  0.000  0.000  0.500

D(E_F)   13.3 states/eV/cell
Offset from the most stable computed form   0 meV per atom